Entry from Alexandria via LeMat-Bulk: crystalline Na2GaP at its relaxed geometry (GGA-PBE).

Calculated values
- SG: I-42d, No. 122
- Energy of formation from the pure elements: 0.149 eV per atom
- Energy above the most stable polymorph in this dataset: 0.223 eV per atom

Cell lengths 10.5353, 10.5353, 10.5353 Å; angles 157.43, 157.43, 32.13 degrees
With the nearest neighbours (Å) after each atom.
Fractional coordinates of all 8 atoms:
Na: 0.1076 0.6250 0.9826  4 Na 2.82-3.02, 2 P 2.90, 2 Ga 2.95
Na: 0.3750 0.3576 0.4826  4 Na 2.82-3.02, 2 P 2.90, 2 Ga 2.95
Na: 0.6424 0.1250 0.0174  4 Na 2.82-3.02, 2 P 2.90, 2 Ga 2.95
Na: 0.8750 0.8924 0.5174  4 Na 2.82-3.02, 2 P 2.90, 2 Ga 2.95
Ga: 0.2500 0.7500 0.5000  4 P 2.92, 4 Na 2.95
Ga: 0.5000 0.5000 0.0000  4 P 2.92, 4 Na 2.95
P: 0.0000 0.0000 0.0000  4 Na 2.90, 4 Ga 2.92
P: 0.7500 0.2500 0.5000  4 Na 2.90, 4 Ga 2.92

Entry from Alexandria via LeMat-Bulk: crystalline Na3GaP at its relaxed geometry (GGA-PBE).

Calculated values
- SG: Ima2, No. 46
- Energy of formation from the pure elements: -0.151 eV per atom
- Energy above the most stable polymorph in this dataset: 0.000 eV per atom

Cell lengths 7.1423, 7.1423, 7.1423 Å; angles 100.23, 116.58, 112.02 degrees
With the nearest neighbours (Å) after each atom.
Fractional coordinates of all 10 atoms:
Na: 0.2158 0.0421 0.2579  2 P 2.90-2.91, 1 Ga 3.20
Na: 0.2158 0.4579 0.6737  2 P 2.90-2.91, 1 Ga 3.20
Na: 0.6125 0.9406 0.1720  2 P 2.78-2.88, 1 Ga 3.03
Na: 0.7686 0.4406 0.8280  2 P 2.78-2.88, 1 Ga 3.03
Na: 0.7842 0.5421 0.3263  2 P 2.90-2.91, 1 Ga 3.20
Na: 0.7842 0.9579 0.7421  2 P 2.90-2.91, 1 Ga 3.20
Ga: 0.3173 0.0684 0.7489  1 P 2.30
Ga: 0.3195 0.5684 0.2511  1 P 2.30
P: 0.1128 0.7886 0.8242  1 Ga 2.30
P: 0.9644 0.2886 0.1758  1 Ga 2.30

Entry from Alexandria via LeMat-Bulk: crystalline Na3GaP at its relaxed geometry (GGA-PBE).

Calculated values
- SG: Pm-3m, No. 221
- Energy of formation from the pure elements: 0.087 eV per atom
- Energy above the most stable polymorph in this dataset: 0.238 eV per atom

Cell lengths 5.3958, 5.3958, 5.3958 Å; angles 90.00, 90.00, 90.00 degrees
With the nearest neighbours (Å) after each atom.
Fractional coordinates of all 5 atoms:
Na: 0.0000 0.0000 0.5000  2 P 2.70
Na: 0.0000 0.5000 0.0000  2 P 2.70
Na: 0.5000 0.0000 0.0000  2 P 2.70
Ga: 0.5000 0.5000 0.5000  12 Na 3.82
P: 0.0000 0.0000 0.0000  6 Na 2.70

Entry from Alexandria via LeMat-Bulk: crystalline Na3Ga2P4 at its relaxed geometry (GGA-PBE).

Calculated values
- SG: C2/m, No. 12
- Energy of formation from the pure elements: -0.358 eV per atom

Cell lengths 8.0378, 8.0378, 7.0014 Å; angles 113.61, 113.61, 27.84 degrees
With the nearest neighbours (Å) after each atom.
Fractional coordinates of all 9 atoms:
Na: 0.0000 0.0000 0.0000  6 P 2.96-3.11, 2 Na 3.31
Na: 0.1541 0.1541 0.7871  5 P 2.96-2.98, 1 Na 3.31
Na: 0.8459 0.8459 0.2129  5 P 2.96-2.98, 1 Na 3.31
Ga: 0.3345 0.3345 0.6017  4 P 2.41-2.47
Ga: 0.6655 0.6655 0.3983  4 P 2.41-2.47
P: 0.2068 0.2068 0.2443  3 Ga 2.43-2.47
P: 0.4965 0.4965 0.6485  1 P 2.13
P: 0.5035 0.5035 0.3515  1 P 2.13
P: 0.7932 0.7932 0.7557  3 Ga 2.43-2.47

Entry from Alexandria via LeMat-Bulk: crystalline Na2Ga2P3 at its relaxed geometry (GGA-PBE).

Calculated values
- SG: C2/c, No. 15
- Energy of formation from the pure elements: -0.286 eV per atom

Cell lengths 10.2260, 10.2260, 6.4366 Å; angles 107.74, 107.74, 82.88 degrees
With the nearest neighbours (Å) after each atom.
Fractional coordinates of all 28 atoms:
Na: 0.0691 0.9309 0.7500  6 P 3.00-3.24
Na: 0.2147 0.7853 0.2500  6 P 3.00-3.07, 2 Ga 3.35
Na: 0.3188 0.4908 0.8990  3 P 2.80-2.98
Na: 0.4908 0.3188 0.3990  3 P 2.80-2.98
Na: 0.5092 0.6812 0.6010  3 P 2.80-2.98
Na: 0.6812 0.5092 0.1010  3 P 2.80-2.98
Na: 0.7853 0.2147 0.7500  6 P 3.00-3.07, 2 Ga 3.35
Na: 0.9309 0.0691 0.2500  6 P 3.00-3.24
Ga: 0.0244 0.5830 0.3565  4 P 2.37-2.42
Ga: 0.1550 0.2990 0.1800  4 P 2.35-2.46
Ga: 0.2990 0.1550 0.6800  4 P 2.35-2.46
Ga: 0.4170 0.9756 0.1435  4 P 2.37-2.42
Ga: 0.5830 0.0244 0.8565  4 P 2.37-2.42
Ga: 0.7010 0.8450 0.3200  4 P 2.35-2.46
Ga: 0.8450 0.7010 0.8200  4 P 2.35-2.46
Ga: 0.9756 0.4170 0.6435  4 P 2.37-2.42
P: 0.0745 0.6392 0.7642  3 Ga 2.41-2.46
P: 0.0846 0.2268 0.7730  3 Ga 2.37-2.42
P: 0.2268 0.0846 0.2730  3 Ga 2.37-2.42
P: 0.2606 0.5114 0.3705  2 Ga 2.35-2.42
P: 0.3608 0.9255 0.7358  3 Ga 2.41-2.46
P: 0.4886 0.7394 0.1295  2 Ga 2.35-2.42
P: 0.5114 0.2606 0.8705  2 Ga 2.35-2.42
P: 0.6392 0.0745 0.2642  3 Ga 2.41-2.46
P: 0.7394 0.4886 0.6295  2 Ga 2.35-2.42
P: 0.7732 0.9154 0.7270  3 Ga 2.37-2.42
P: 0.9154 0.7732 0.2270  3 Ga 2.37-2.42
P: 0.9255 0.3608 0.2358  3 Ga 2.41-2.46

Entry from Alexandria via LeMat-Bulk: crystalline NaGaP2Pd at its relaxed geometry (GGA-PBE).

Calculated values
- SG: P4/mmm, No. 123
- Energy of formation from the pure elements: 1.217 eV per atom

Cell lengths 4.7984, 4.7984, 4.8669 Å; angles 90.00, 90.00, 90.00 degrees
With the nearest neighbours (Å) after each atom.
Fractional coordinates of all 5 atoms:
Na: 0.0000 0.0000 0.0000  4 P 2.40, 2 Ga 2.43
Ga: 0.0000 0.0000 0.5000  2 Na 2.43
P: 0.0000 0.5000 0.0000  2 Na 2.40
P: 0.5000 0.0000 0.0000  2 Na 2.40
Pd: 0.5000 0.5000 0.5000  4 Ga 3.39, 8 P 3.42

Entry from Alexandria via LeMat-Bulk: crystalline Na2GaP2Pd5 at its relaxed geometry (GGA-PBE).

Calculated values
- SG: P4/mbm, No. 127
- Energy of formation from the pure elements: -0.483 eV per atom

Cell lengths 10.2182, 10.2182, 3.1441 Å; angles 90.00, 90.00, 90.00 degrees
With the nearest neighbours (Å) after each atom.
Fractional coordinates of all 20 atoms:
Na: 0.1745 0.3255 0.0000  3 P 2.83-3.14, 10 Pd 2.97-3.15, 2 Na 3.14
Na: 0.3255 0.8255 0.0000  3 P 2.83-3.14, 10 Pd 2.97-3.15, 2 Na 3.14
Na: 0.6745 0.1745 0.0000  3 P 2.83-3.14, 10 Pd 2.97-3.15, 2 Na 3.14
Na: 0.8255 0.6745 0.0000  3 P 2.83-3.14, 10 Pd 2.97-3.15, 2 Na 3.14
Ga: 0.0000 0.0000 0.0000  8 Pd 2.67
Ga: 0.5000 0.5000 0.0000  8 Pd 2.67
P: 0.1295 0.6295 0.0000  6 Pd 2.43-2.44
P: 0.3705 0.1295 0.0000  6 Pd 2.43-2.44
P: 0.6295 0.8705 0.0000  6 Pd 2.43-2.44
P: 0.8705 0.3705 0.0000  6 Pd 2.43-2.44
Pd: 0.0000 0.5000 0.5000  4 P 2.44
Pd: 0.0623 0.7979 0.5000  2 P 2.43, 2 Ga 2.67
Pd: 0.2021 0.0623 0.5000  2 P 2.43, 2 Ga 2.67
Pd: 0.2979 0.5623 0.5000  2 P 2.43, 2 Ga 2.67
Pd: 0.4377 0.2979 0.5000  2 P 2.43, 2 Ga 2.67
Pd: 0.5000 0.0000 0.5000  4 P 2.44
Pd: 0.5623 0.7021 0.5000  2 P 2.43, 2 Ga 2.67
Pd: 0.7021 0.4377 0.5000  2 P 2.43, 2 Ga 2.67
Pd: 0.7979 0.9377 0.5000  2 P 2.43, 2 Ga 2.67
Pd: 0.9377 0.2021 0.5000  2 P 2.43, 2 Ga 2.67

Entry from Alexandria via LeMat-Bulk: crystalline NaGaP2Pt at its relaxed geometry (GGA-PBE).

Calculated values
- SG: P4/mmm, No. 123
- Energy of formation from the pure elements: 0.878 eV per atom

Cell lengths 4.6162, 4.6162, 4.8365 Å; angles 90.00, 90.00, 90.00 degrees
With the nearest neighbours (Å) after each atom.
Fractional coordinates of all 5 atoms:
Na: 0.0000 0.0000 0.0000  2 Ga 2.42
Ga: 0.0000 0.0000 0.5000  4 P 2.31, 2 Na 2.42
P: 0.0000 0.5000 0.5000  2 Ga 2.31
P: 0.5000 0.0000 0.5000  2 Ga 2.31
Pt: 0.5000 0.5000 0.0000  4 Na 3.26, 8 P 3.34

Entry from Alexandria via LeMat-Bulk: crystalline Na2GaPPt6 at its relaxed geometry (GGA-PBE).

Calculated values
- SG: Pmmn, No. 59
- Energy of formation from the pure elements: -0.368 eV per atom

Cell lengths 5.6707, 8.6697, 7.8777 Å; angles 90.00, 90.00, 90.00 degrees
With the nearest neighbours (Å) after each atom.
Fractional coordinates of all 20 atoms:
Na: 0.2500 0.0366 0.2014  9 Pt 3.03-3.35, 2 Ga 3.39
Na: 0.2500 0.4634 0.2014  9 Pt 3.03-3.35, 2 Ga 3.39
Na: 0.7500 0.5366 0.7986  9 Pt 3.03-3.35, 2 Ga 3.39
Na: 0.7500 0.9634 0.7986  9 Pt 3.03-3.35, 2 Ga 3.39
Ga: 0.2500 0.7500 0.7847  6 Pt 2.51-2.63
Ga: 0.7500 0.2500 0.2153  6 Pt 2.51-2.63
P: 0.2500 0.2500 0.7331  6 Pt 2.25-2.40
P: 0.7500 0.7500 0.2669  6 Pt 2.25-2.40
Pt: 0.0128 0.7500 0.4986  1 P 2.36, 1 Ga 2.62
Pt: 0.0196 0.7500 0.0574  1 P 2.25, 1 Ga 2.51
Pt: 0.2500 0.0013 0.5988  1 P 2.40, 1 Ga 2.63, 2 Pt 2.68
Pt: 0.2500 0.4987 0.5988  1 P 2.40, 1 Ga 2.63, 2 Pt 2.68
Pt: 0.4804 0.7500 0.0574  1 P 2.25, 1 Ga 2.51
Pt: 0.4872 0.7500 0.4986  1 P 2.36, 1 Ga 2.62
Pt: 0.5128 0.2500 0.5014  1 P 2.36, 1 Ga 2.62
Pt: 0.5196 0.2500 0.9426  1 P 2.25, 1 Ga 2.51
Pt: 0.7500 0.5013 0.4012  1 P 2.40, 1 Ga 2.63, 2 Pt 2.68
Pt: 0.7500 0.9987 0.4012  1 P 2.40, 1 Ga 2.63, 2 Pt 2.68
Pt: 0.9804 0.2500 0.9426  1 P 2.25, 1 Ga 2.51
Pt: 0.9872 0.2500 0.5014  1 P 2.36, 1 Ga 2.62

Entry from Alexandria via LeMat-Bulk: crystalline Na2GaPPt at its relaxed geometry (GGA-PBE).

Calculated values
- SG: P4/mmm, No. 123
- Energy of formation from the pure elements: -0.100 eV per atom
- Energy above the most stable polymorph in this dataset: 0.000 eV per atom

Cell lengths 5.4931, 5.4931, 4.3927 Å; angles 90.00, 90.00, 90.00 degrees
With the nearest neighbours (Å) after each atom.
Fractional coordinates of all 5 atoms:
Na: 0.0000 0.5000 0.0000  2 Pt 2.75
Na: 0.5000 0.0000 0.0000  2 Pt 2.75
Ga: 0.0000 0.0000 0.5000  8 Na 3.52, 4 P 3.88
P: 0.5000 0.5000 0.5000  2 Pt 2.20
Pt: 0.5000 0.5000 0.0000  2 P 2.20

Entry from Alexandria via LeMat-Bulk: crystalline Na2GaPPt at its relaxed geometry (GGA-PBE).

Calculated values
- SG: P4/mmm, No. 123
- Energy of formation from the pure elements: 0.632 eV per atom
- Energy above the most stable polymorph in this dataset: 0.732 eV per atom

Cell lengths 5.4755, 5.4755, 4.3988 Å; angles 90.00, 90.00, 90.00 degrees
With the nearest neighbours (Å) after each atom.
Fractional coordinates of all 5 atoms:
Na: 0.0000 0.5000 0.0000  2 Ga 2.74
Na: 0.5000 0.0000 0.0000  2 Ga 2.74
Ga: 0.0000 0.0000 0.0000  2 P 2.20
P: 0.0000 0.0000 0.5000  2 Ga 2.20
Pt: 0.5000 0.5000 0.5000  8 Na 3.51, 4 P 3.87

> The highest energy of formation from the pure elements belongs to which entry?

NaGaP2Pd